Compound: PaCo2CuO6
Source: Alexandria
Functional: PBE+U
Structure: relaxed

The total DFT energy (no corrections) is -70.3 eV/cell. The calculation puts the total moment at 4.03 μB per formula unit.

Cell: 5.1961 5.2354 5.4758 Å, 117.66 90.46 117.43°
Closest atoms and distances in Å follow each position.
Element x y z (fractional)
Pa  0.0000  0.0000  0.0000  6 O 2.09-2.29
Co  0.2050  0.4062  0.6140  6 O 1.93-2.02
Co  0.7116  0.4495  0.1651  4 O 1.99-2.13
Cu  0.5135  0.0269  0.5405  4 O 2.02-2.05
O  0.0783  0.4911  0.3384  2 Co 1.95-1.99
O  0.3435  0.2723  0.8355  2 Co 1.93-2.13, 1 Cu 2.05
O  0.4144  0.2326  0.3494  2 Co 1.96-2.04, 1 Cu 2.02
O  0.5527  0.8650  0.8029  1 Co 1.94, 1 Cu 2.03
O  0.8301  0.9430  0.3674  2 Co 2.02-2.04, 1 Cu 2.03
O  0.9703  0.5384  0.8602  1 Co 1.93, 1 Pa 2.09